1.
First-principles (PBE) data for a geometry-optimized Tb14ZrSc structure, as listed in Alexandria.

Cell: 7.038 7.038 9.914 Å, 90.00 90.00 90.00°
Atoms (fractional coordinates):
Tb: 0.375 0.625 0.500
Tb: 0.875 0.125 0.500
Tb: 0.875 0.625 0.000
Tb: 0.875 0.625 0.500
Tb: 0.375 0.125 0.000
Tb: 0.375 0.125 0.500
Tb: 0.628 0.878 0.758
Tb: 0.628 0.878 0.242
Tb: 0.122 0.372 0.758
Tb: 0.122 0.372 0.242
Tb: 0.122 0.878 0.758
Tb: 0.122 0.878 0.242
Tb: 0.628 0.372 0.757
Tb: 0.628 0.372 0.243
Zr: 0.875 0.125 0.000
Sc: 0.375 0.625 0.000

## Properties
Space-group type = P4/mmm
E_form = 40 meV/atom
Spin magnetization = 0.00 μB/f.u.
VASP energy = -4.94 eV per atom

2.
First-principles (PBE) data for a geometry-optimized TbZr2Sc structure, as listed in Alexandria.

Cell: 4.583 4.699 10.468 Å, 90.00 116.04 90.00°
Atoms (fractional coordinates):
Tb: 0.864 0.750 0.364
Tb: 0.136 0.250 0.636
Zr: 0.619 0.250 0.119
Zr: 0.381 0.750 0.881
Zr: 0.115 0.750 0.114
Zr: 0.885 0.250 0.886
Sc: 0.357 0.250 0.357
Sc: 0.643 0.750 0.643

## Properties
Space-group type = P2_1/m
E_form = 61 meV/atom
Energy above the lowest structure with this stoichiometry = 0.000 eV per atom
Spin magnetization = 0.00 μB/f.u.
VASP energy = -6.95 eV per atom

3.
First-principles (PBE) data for a geometry-optimized TbZr2Sc structure, as listed in Alexandria.

Cell: 4.681 4.624 4.624 Å, 90.00 90.00 90.00°
Atoms (fractional coordinates):
Sc: 0.500 0.000 0.000
Tb: 0.500 0.500 0.500
Zr: 0.000 0.000 0.500
Zr: 0.000 0.500 0.000

## Properties
Space-group type = P4/mmm
E_form = 82 meV/atom
Energy above the lowest structure with this stoichiometry = 0.021 eV per atom
Spin magnetization = 0.00 μB/f.u.
VASP energy = -6.93 eV per atom

4.
First-principles (PBE) data for a geometry-optimized Sc5Tc structure, as listed in Alexandria.

Cell: 6.306 6.306 4.783 Å, 90.00 90.00 136.81°
Atoms (fractional coordinates):
Sc: 0.151 0.849 0.500
Sc: 0.354 0.646 0.000
Sc: 0.500 0.500 0.500
Sc: 0.646 0.354 0.000
Sc: 0.849 0.151 0.500
Tc: 0.000 0.000 0.000

## Properties
Space-group type = Cmmm
E_form = -9 meV/atom
Energy above the lowest structure with this stoichiometry = 0.092 eV per atom
Spin magnetization = 0.00 μB/f.u.
VASP energy = -7.01 eV per atom

5.
First-principles (PBE) data for a geometry-optimized ScTc3 structure, as listed in Alexandria.

Cell: 4.461 4.461 3.122 Å, 90.00 90.00 90.00°
Atoms (fractional coordinates):
Sc: 0.000 0.000 0.000
Tc: 0.000 0.500 0.500
Tc: 0.500 0.000 0.500
Tc: 0.500 0.500 0.000

## Properties
Space-group type = P4/mmm
E_form = -68 meV/atom
Energy above the lowest structure with this stoichiometry = 0.039 eV per atom
Spin magnetization = 0.00 μB/f.u.
VASP energy = -9.43 eV per atom

6.
First-principles (PBE) data for a geometry-optimized Sc5Tc3 structure, as listed in Alexandria.

Cell: 5.885 5.885 4.412 Å, 90.00 90.00 103.96°
Atoms (fractional coordinates):
Sc: 0.000 0.000 0.000
Sc: 0.500 0.000 0.000
Sc: 0.000 0.500 0.000
Sc: 0.705 0.705 0.500
Sc: 0.295 0.295 0.500
Tc: 0.500 0.500 0.000
Tc: 0.789 0.211 0.500
Tc: 0.211 0.789 0.500

## Properties
Space-group type = Cmmm
E_form = -93 meV/atom
Energy above the lowest structure with this stoichiometry = 0.045 eV per atom
Spin magnetization = 0.00 μB/f.u.
VASP energy = -7.94 eV per atom

7.
First-principles (PBE) data for a geometry-optimized ScTc structure, as listed in Alexandria.

Cell: 4.802 3.132 4.913 Å, 90.00 101.65 90.00°
Atoms (fractional coordinates):
Sc: 0.804 0.500 0.220
Sc: 0.196 0.500 0.780
Tc: 0.655 0.000 0.715
Tc: 0.345 0.000 0.285

## Properties
Space-group type = P2/m
E_form = -129 meV/atom
Spin magnetization = 0.00 μB/f.u.
VASP energy = -8.48 eV per atom

8.
First-principles (PBE) data for a geometry-optimized ScTc structure, as listed in Alexandria.

Cell: 5.200 5.200 5.200 Å, 90.00 90.00 90.00°
Atoms (fractional coordinates):
Sc: 0.405 0.405 0.405
Sc: 0.095 0.595 0.905
Sc: 0.595 0.905 0.095
Sc: 0.905 0.095 0.595
Tc: 0.104 0.104 0.104
Tc: 0.396 0.896 0.604
Tc: 0.896 0.604 0.396
Tc: 0.604 0.396 0.896

## Properties
Space-group type = P2_13
E_form = 133 meV/atom
Spin magnetization = 0.00 μB/f.u.
VASP energy = -8.22 eV per atom

- What is the VASP energy in the seventh record?
  -8.48 eV per atom

Repeat the seventh record exactly.
First-principles (PBE) data for a geometry-optimized ScTc structure, as listed in Alexandria.

Cell: 4.802 3.132 4.913 Å, 90.00 101.65 90.00°
Atoms (fractional coordinates):
Sc: 0.804 0.500 0.220
Sc: 0.196 0.500 0.780
Tc: 0.655 0.000 0.715
Tc: 0.345 0.000 0.285

## Properties
Space-group type = P2/m
E_form = -129 meV/atom
Spin magnetization = 0.00 μB/f.u.
VASP energy = -8.48 eV per atom

- Which formula does entry 2 have?
  TbZr2Sc